Here is RbSbPd2Se after structural relaxation from Alexandria via LeMat-Bulk. Energies are from PBE.

Cell lengths 4.9367, 5.6386, 4.9367 Å; angles 90.00, 90.00, 90.00 degrees
Fractional positions:
Sb 0.0000 0.5000 0.0000
Se 0.0000 0.0000 0.0000
Rb 0.5000 0.5000 0.5000
Pd 0.0000 0.0000 0.5000
Pd 0.5000 0.0000 0.0000

Calculated values
As for the space-group type: P4/mmm. The value obtained for the energy relative to the elements, uncorrected is 39 kJ/mol of formula units.

***

Here is Re2TcAs after structural relaxation from Alexandria via LeMat-Bulk. Energies are from PBE.

Cell lengths 2.7870, 2.7870, 8.8146 Å; angles 90.00, 90.00, 116.15 degrees
Fractional positions:
Re 0.0000 0.0000 0.0023
Re 0.5000 0.5000 0.2508
As 0.5000 0.5000 0.7445
Tc 0.0000 0.0000 0.5023

Calculated values
As for the space-group type: Cmm2. The formation energy from the elements is 0.482 eV/atom.

***

Here is Ac2PrHo after structural relaxation from Alexandria via LeMat-Bulk. Energies are from PBE.

Cell lengths 3.8321, 3.8321, 12.4453 Å; angles 81.14, 81.14, 60.00 degrees
Fractional positions:
Ac 0.0816 0.0816 0.7553
Ac 0.2520 0.2520 0.2440
Pr 0.4990 0.4990 0.5029
Ho 0.6674 0.6674 0.9978

Calculated values
As for the space-group type: R3m. The formation energy from the elements is 0.054 eV/atom.

***

Here is CeTh2ScAs4 after structural relaxation from Alexandria via LeMat-Bulk. Energies are from PBE.

Cell lengths 4.1787, 7.1857, 7.2137 Å; angles 70.38, 90.00, 90.00 degrees
Site moments in Bohr magnetons follow the coordinates.
Fractional positions:
Ce 0.0000 0.5000 0.5000  0.43
Th 0.0000 0.0000 0.0000  0.01
Th 0.5000 0.0000 0.5000  0.02
Sc 0.5000 0.5000 0.0000  0.00
As 0.0000 0.7340 0.7629  0.00
As 0.0000 0.2660 0.2371  0.00
As 0.5000 0.7391 0.2453  -0.01
As 0.5000 0.2609 0.7547  -0.01

Calculated values
As for the space-group type: P2/m. The formation energy from the elements is -1.377 eV/atom.

***

Here is PrTiTl after structural relaxation from Alexandria via LeMat-Bulk. Energies are from PBE.

Cell lengths 4.4369, 4.4369, 8.1883 Å; angles 90.00, 90.00, 90.00 degrees
Site moments in Bohr magnetons follow the coordinates.
Fractional positions:
Pr 0.0000 0.5000 0.8436  0.16
Pr 0.5000 0.0000 0.1564  0.16
Tl 0.0000 0.5000 0.2620  0.00
Tl 0.5000 0.0000 0.7380  0.00
Ti 0.5000 0.5000 0.5000  0.97
Ti 0.0000 0.0000 0.5000  0.97

Calculated values
As for the space-group type: P4/nmm. The formation energy from the elements is -0.063 eV/atom.

***

Here is ZnOs2I after structural relaxation from Alexandria via LeMat-Bulk. Energies are from PBE.

Cell lengths 4.5060, 4.5060, 4.5060 Å; angles 60.00, 60.00, 60.00 degrees
Fractional positions:
I 0.5000 0.5000 0.5000
Zn 0.0000 0.0000 0.0000
Os 0.2500 0.2500 0.2500
Os 0.7500 0.7500 0.7500

Calculated values
As for the space-group type: Fm-3m. The value obtained for the energy relative to the elements, uncorrected is 445 kJ/mol of formula units.